VASP calculation (PBE) on an optimized crystal structure of AlSbAsI2.

Computed properties:
raw total energy = -2.60 eV/atom
offset from the most stable computed form = 4.9 kJ/mol of atoms
formation energy without anion corrections = 0.5229 eV per atom

Structure (CIF):
```
data_AlSbAsI2
_chemical_formula_sum 'Al1 Sb1 As1 I2'
_space_group_name_H-M_alt 'P 4/m m m'
_space_group_IT_number 123
_space_group_name_Hall '-P 4 2'
_cell_length_a 5.367
_cell_length_b 5.367
_cell_length_c 5.780
_cell_angle_alpha 90.00
_cell_angle_beta 90.00
_cell_angle_gamma 90.00
loop_
_atom_site_label
_atom_site_fract_x
_atom_site_fract_y
_atom_site_fract_z
_atom_site_occupancy
Al1 0.000 0.000 0.000 1
Sb1 0.000 0.000 0.500 1
As1 0.500 0.500 0.500 1
I1 0.000 0.500 0.000 1
```